# 1
Below is a relaxed structure of V2Ga2O7, with properties calculated at the GGA+U level.

Cell lengths 5.3484, 5.3484, 10.3250 Å; angles 99.19, 99.19, 104.47 degrees
Fractional positions:
V (0.2128, 0.2675, 0.1962)
V (0.2675, 0.2128, 0.6962)
V (0.7325, 0.7872, 0.3038)
V (0.7872, 0.7325, 0.8038)
Ga (0.2796, 0.6341, 0.5093)
Ga (0.3659, 0.7204, 0.9907)
Ga (0.6341, 0.2796, 0.0093)
Ga (0.7204, 0.3659, 0.4907)
O (0.0012, 0.9988, 0.2500)
O (0.0230, 0.6106, 0.8922)
O (0.0673, 0.3800, 0.5905)
O (0.3800, 0.0673, 0.0905)
O (0.3894, 0.9770, 0.6078)
O (0.4219, 0.4801, 0.3683)
O (0.4801, 0.4219, 0.8683)
O (0.5199, 0.5781, 0.1317)
O (0.5781, 0.5199, 0.6317)
O (0.6106, 0.0230, 0.3922)
O (0.6200, 0.9327, 0.9095)
O (0.9327, 0.6200, 0.4095)
O (0.9770, 0.3894, 0.1078)
O (0.9988, 0.0012, 0.7500)

Energy relative to the lowest polymorph listed for this composition = 0.00 eV per formula unit
Symmetry = C2/c
Calculated density = 4.25 g/cm³


# 2
Below is a relaxed structure of V2GaO, with properties calculated at the GGA+U level.

Cell lengths 4.3564, 4.3564, 4.3564 Å; angles 60.00, 60.00, 60.00 degrees
Fractional positions:
V (0.2500, 0.2500, 0.2500)
V (0.7500, 0.7500, 0.7500)
Ga (0.0000, 0.0000, 0.0000)
O (0.5000, 0.5000, 0.5000)

Total DFT energy (no corrections) = -5.074 eV per atom
Symmetry = Fm-3m
Calculated density = 5.33 g/cm³
N(E_F) = 3.99 states/eV/cell


# 3
Below is a relaxed structure of VGa2O6, with properties calculated at the GGA+U level.

Cell lengths 4.5963, 4.5963, 8.8904 Å; angles 90.00, 90.00, 90.00 degrees
Fractional positions:
V (0.0000, 0.0000, 0.0000)
V (0.5000, 0.5000, 0.5000)
Ga (0.0000, 0.0000, 0.3335)
Ga (0.0000, 0.0000, 0.6665)
Ga (0.5000, 0.5000, 0.1665)
Ga (0.5000, 0.5000, 0.8335)
O (0.1935, 0.1935, 0.1577)
O (0.1935, 0.1935, 0.8423)
O (0.2038, 0.2038, 0.5000)
O (0.2962, 0.7038, 0.0000)
O (0.3065, 0.6935, 0.3423)
O (0.3065, 0.6935, 0.6577)
O (0.6935, 0.3065, 0.3423)
O (0.6935, 0.3065, 0.6577)
O (0.7038, 0.2962, 0.0000)
O (0.7962, 0.7962, 0.5000)
O (0.8065, 0.8065, 0.1577)
O (0.8065, 0.8065, 0.8423)

Total DFT energy (no corrections) = -6.367 eV per atom
Symmetry = P4_2/mnm
Calculated density = 5.06 g/cm³
N(E_F) = 8.41 states/eV/cell


# 4
Below is a relaxed structure of V2GaO6, with properties calculated at the GGA+U level.

Cell lengths 4.5570, 4.5570, 8.8796 Å; angles 90.00, 90.00, 90.00 degrees
Fractional positions:
V (0.0000, 0.0000, 0.1680)
V (0.0000, 0.0000, 0.8320)
V (0.5000, 0.5000, 0.3320)
V (0.5000, 0.5000, 0.6680)
Ga (0.0000, 0.0000, 0.5000)
Ga (0.5000, 0.5000, 0.0000)
O (0.1889, 0.1889, 0.0000)
O (0.2009, 0.2009, 0.3279)
O (0.2009, 0.2009, 0.6721)
O (0.2991, 0.7009, 0.1721)
O (0.2991, 0.7009, 0.8279)
O (0.3111, 0.6889, 0.5000)
O (0.6889, 0.3111, 0.5000)
O (0.7009, 0.2991, 0.1721)
O (0.7009, 0.2991, 0.8279)
O (0.7991, 0.7991, 0.3279)
O (0.7991, 0.7991, 0.6721)
O (0.8111, 0.8111, 0.0000)

Energy relative to the lowest polymorph listed for this composition = 0.06 eV per formula unit
Symmetry = P4_2/mnm
Calculated density = 4.82 g/cm³
N(E_F) = 4.55 states/eV/cell


# 5
Below is a relaxed structure of V2GaO5, with properties calculated at the GGA+U level.

Cell lengths 5.2832, 8.0264, 8.3185 Å; angles 108.05, 108.30, 91.93 degrees
Fractional positions:
V (0.0000, 0.0000, 0.0000)
V (0.0375, 0.3040, 0.4050)
V (0.2109, 0.9732, 0.4036)
V (0.2737, 0.7027, 0.0822)
V (0.3938, 0.9639, 0.7925)
V (0.8580, 0.2197, 0.6879)
Ga (0.2439, 0.6315, 0.4083)
Ga (0.6722, 0.3859, 0.0418)
Ga (0.7027, 0.5709, 0.7191)
O (0.1067, 0.1058, 0.8488)
O (0.1672, 0.8265, 0.5684)
O (0.1856, 0.1299, 0.2377)
O (0.2867, 0.8482, 0.9470)
O (0.3592, 0.4850, 0.0308)
O (0.3871, 0.4802, 0.5236)
O (0.4438, 0.7707, 0.3328)
O (0.5050, 0.0921, 0.6324)
O (0.6779, 0.1368, 0.9910)
O (0.7069, 0.8169, 0.8022)
O (0.7818, 0.4398, 0.8755)
O (0.9252, 0.4256, 0.6177)
O (0.9278, 0.4705, 0.2721)
O (0.9362, 0.1028, 0.4629)
O (0.9912, 0.8068, 0.1384)

Energy relative to the lowest polymorph listed for this composition = 0.81 eV per formula unit
Symmetry = P1
Calculated density = 3.98 g/cm³


# 6
Below is a relaxed structure of V2Ga2O7, with properties calculated at the GGA+U level.

Cell lengths 5.2819, 5.2819, 5.1592 Å; angles 96.84, 96.84, 109.61 degrees
Fractional positions:
V (0.1869, 0.8131, 0.0000)
V (0.8131, 0.1869, 0.0000)
Ga (0.2480, 0.2480, 0.6053)
Ga (0.7520, 0.7520, 0.3947)
O (0.0550, 0.0550, 0.2470)
O (0.0808, 0.4502, 0.8115)
O (0.4502, 0.0808, 0.8115)
O (0.5000, 0.5000, 0.5000)
O (0.5498, 0.9192, 0.1885)
O (0.9192, 0.5498, 0.1885)
O (0.9450, 0.9450, 0.7530)

Energy relative to the lowest polymorph listed for this composition = 0.93 eV per formula unit
Symmetry = C2/m
Calculated density = 4.42 g/cm³


# 7
Below is a relaxed structure of VGa4O8, with properties calculated at the GGA+U level.

Cell lengths 5.9559, 5.9559, 5.9559 Å; angles 60.00, 60.00, 60.00 degrees
Fractional positions:
V (0.0000, 0.0000, 0.0000)
Ga (0.3790, 0.3790, 0.3790)
Ga (0.3790, 0.3790, 0.8630)
Ga (0.3790, 0.8630, 0.3790)
Ga (0.8630, 0.3790, 0.3790)
O (0.1346, 0.1346, 0.1346)
O (0.1346, 0.1346, 0.5961)
O (0.1346, 0.5961, 0.1346)
O (0.1617, 0.6128, 0.6128)
O (0.5961, 0.1346, 0.1346)
O (0.6128, 0.1617, 0.6128)
O (0.6128, 0.6128, 0.1617)
O (0.6128, 0.6128, 0.6128)

Total DFT energy (no corrections) = -6.169 eV per atom
Symmetry = F-43m
Calculated density = 5.09 g/cm³
N(E_F) = 8.82 states/eV/cell


# 8
Below is a relaxed structure of VGa2O5, with properties calculated at the GGA+U level.

Cell lengths 5.6202, 5.6202, 6.9876 Å; angles 108.19, 108.19, 53.41 degrees
Fractional positions:
V (0.0000, 0.0000, 0.0000)
V (0.0000, 0.0000, 0.5000)
Ga (0.3610, 0.3665, 0.7718)
Ga (0.3665, 0.3610, 0.2718)
Ga (0.6335, 0.6390, 0.7282)
Ga (0.6390, 0.6335, 0.2282)
O (0.0315, 0.3307, 0.1466)
O (0.2020, 0.7980, 0.2500)
O (0.2459, 0.5773, 0.5454)
O (0.3307, 0.0315, 0.6466)
O (0.4227, 0.7541, 0.9546)
O (0.5773, 0.2459, 0.0454)
O (0.6693, 0.9685, 0.3534)
O (0.7541, 0.4227, 0.4546)
O (0.7980, 0.2020, 0.7500)
O (0.9685, 0.6693, 0.8534)

Energy relative to the lowest polymorph listed for this composition = 0.07 eV per formula unit
Symmetry = C2/c
Calculated density = 5.41 g/cm³
N(E_F) = 0.00 states/eV/cell


# 9
Below is a relaxed structure of Y2VGaO, with properties calculated at the GGA+U level.

Cell lengths 5.4257, 5.4257, 4.6788 Å; angles 90.00, 90.00, 90.00 degrees
Fractional positions:
Y (0.0000, 0.5000, 0.0000)
Y (0.5000, 0.0000, 0.0000)
V (0.0000, 0.0000, 0.5000)
Ga (0.0000, 0.0000, 0.0000)
O (0.5000, 0.5000, 0.5000)

Total DFT energy (no corrections) = -5.104 eV per atom
Symmetry = P4/mmm
Calculated density = 3.79 g/cm³
N(E_F) = 4.16 states/eV/cell


# 10
Below is a relaxed structure of YV2GaO8, with properties calculated at the GGA+U level.

Cell lengths 5.8155, 5.8155, 5.8155 Å; angles 107.30, 107.30, 113.90 degrees
Fractional positions:
Y (0.0000, 0.0000, 0.0000)
V (0.2500, 0.7500, 0.5000)
V (0.5000, 0.5000, 0.0000)
Ga (0.7500, 0.2500, 0.5000)
O (0.0701, 0.3826, 0.3125)
O (0.0701, 0.7576, 0.6875)
O (0.1278, 0.3289, 0.7989)
O (0.2424, 0.9299, 0.3125)
O (0.5300, 0.3289, 0.2011)
O (0.6174, 0.9299, 0.6875)
O (0.6711, 0.4700, 0.7989)
O (0.6711, 0.8722, 0.2011)

Total DFT energy (no corrections) = -7.443 eV per atom
Symmetry = I-4m2
Calculated density = 4.28 g/cm³
N(E_F) = 0.00 states/eV/cell


# 11
Below is a relaxed structure of VZnGaO4, with properties calculated at the GGA+U level.

Cell lengths 6.0193, 6.0193, 6.0193 Å; angles 119.89, 119.39, 90.62 degrees
Fractional positions:
V (0.0000, 0.0000, 0.0000)
V (0.5000, 0.0000, 0.5000)
Zn (0.3732, 0.6232, 0.7500)
Zn (0.6268, 0.3768, 0.2500)
Ga (0.0000, 0.0000, 0.5000)
Ga (0.0000, 0.5000, 0.0000)
O (0.2167, 0.2403, 0.9763)
O (0.2360, 0.7597, 0.4763)
O (0.2366, 0.2169, 0.4803)
O (0.2366, 0.7564, 0.0197)
O (0.7634, 0.2436, 0.9803)
O (0.7634, 0.7831, 0.5197)
O (0.7640, 0.2403, 0.5237)
O (0.7833, 0.7597, 0.0237)

Total DFT energy (no corrections) = -6.346 eV per atom
Symmetry = Imma
Calculated density = 5.36 g/cm³


# 12
Below is a relaxed structure of GaWO2, with properties calculated at the GGA+U level.

Cell lengths 7.3499, 7.3499, 7.3499 Å; angles 22.18, 22.18, 22.18 degrees
Fractional positions:
Ga (0.0000, 0.0000, 0.0000)
W (0.5000, 0.5000, 0.5000)
O (0.1015, 0.1015, 0.1015)
O (0.8985, 0.8985, 0.8985)

Total DFT energy (no corrections) = -6.039 eV per atom
Symmetry = R-3m
Calculated density = 9.55 g/cm³
N(E_F) = 0.38 states/eV/cell


# 13
Below is a relaxed structure of GaWO4, with properties calculated at the GGA+U level.

Cell lengths 5.5898, 5.5898, 5.5898 Å; angles 108.30, 108.30, 111.84 degrees
Fractional positions:
Ga (0.0000, 0.0000, 0.0000)
Ga (0.7500, 0.2500, 0.5000)
W (0.2360, 0.7360, 0.5000)
W (0.4860, 0.4860, 0.0000)
O (0.0494, 0.2445, 0.8050)
O (0.4395, 0.2445, 0.1950)
O (0.4979, 0.1962, 0.6983)
O (0.4979, 0.7997, 0.3017)
O (0.5497, 0.7479, 0.8017)
O (0.9462, 0.7479, 0.1983)
O (0.9945, 0.2994, 0.3050)
O (0.9945, 0.6895, 0.6950)

Total DFT energy (no corrections) = -6.953 eV per atom
Symmetry = I4_1md
Calculated density = 7.85 g/cm³
N(E_F) = 0.00 states/eV/cell


# 14
Below is a relaxed structure of Ga2WO6, with properties calculated at the GGA+U level.

Cell lengths 4.6483, 4.6483, 9.0453 Å; angles 90.00, 90.00, 90.00 degrees
Fractional positions:
Ga (0.0000, 0.0000, 0.1637)
Ga (0.0000, 0.0000, 0.8363)
Ga (0.5000, 0.5000, 0.3363)
Ga (0.5000, 0.5000, 0.6637)
W (0.0000, 0.0000, 0.5000)
W (0.5000, 0.5000, 0.0000)
O (0.1954, 0.1954, 0.3384)
O (0.1954, 0.1954, 0.6616)
O (0.2003, 0.2003, 0.0000)
O (0.2997, 0.7003, 0.5000)
O (0.3046, 0.6954, 0.1616)
O (0.3046, 0.6954, 0.8384)
O (0.6954, 0.3046, 0.1616)
O (0.6954, 0.3046, 0.8384)
O (0.7003, 0.2997, 0.5000)
O (0.7997, 0.7997, 0.0000)
O (0.8046, 0.8046, 0.3384)
O (0.8046, 0.8046, 0.6616)

Energy relative to the lowest polymorph listed for this composition = 0.01 eV per formula unit
Symmetry = P4_2/mnm
Calculated density = 7.12 g/cm³
N(E_F) = 0.00 states/eV/cell


# 15
Below is a relaxed structure of GaWO2, with properties calculated at the GGA+U level.

Cell lengths 6.9133, 6.9133, 6.9133 Å; angles 139.26, 139.26, 58.98 degrees
Fractional positions:
Ga (0.0000, 0.0000, 0.0000)
Ga (0.7500, 0.2500, 0.5000)
W (0.2500, 0.7500, 0.5000)
W (0.5000, 0.5000, 0.0000)
O (0.2354, 0.6250, 0.1104)
O (0.3750, 0.4854, 0.6104)
O (0.5146, 0.1250, 0.8896)
O (0.8750, 0.7646, 0.3896)

Total DFT energy (no corrections) = -5.781 eV per atom
Symmetry = I-42d
Calculated density = 6.80 g/cm³
N(E_F) = 2.48 states/eV/cell


# 16
Below is a relaxed structure of Ga2WO6, with properties calculated at the GGA+U level.

Cell lengths 4.5782, 16.8674, 4.9904 Å; angles 90.00, 90.00, 90.00 degrees
Fractional positions:
Ga (0.0000, 0.0541, 0.2500)
Ga (0.0000, 0.2744, 0.7500)
Ga (0.0000, 0.7256, 0.2500)
Ga (0.0000, 0.9459, 0.7500)
Ga (0.5000, 0.2256, 0.2500)
Ga (0.5000, 0.4459, 0.7500)
Ga (0.5000, 0.5541, 0.2500)
Ga (0.5000, 0.7744, 0.7500)
W (0.0000, 0.3855, 0.2500)
W (0.0000, 0.6145, 0.7500)
W (0.5000, 0.1145, 0.7500)
W (0.5000, 0.8855, 0.2500)
O (0.2250, 0.2970, 0.0767)
O (0.2250, 0.7030, 0.5767)
O (0.2300, 0.3735, 0.5719)
O (0.2300, 0.6265, 0.0719)
O (0.2342, 0.0397, 0.5914)
O (0.2342, 0.9603, 0.0914)
O (0.2658, 0.4603, 0.0914)
O (0.2658, 0.5397, 0.5914)
O (0.2700, 0.1265, 0.0719)
O (0.2700, 0.8735, 0.5719)
O (0.2750, 0.2030, 0.5767)
O (0.2750, 0.7970, 0.0767)
O (0.7250, 0.2030, 0.9233)
O (0.7250, 0.7970, 0.4233)
O (0.7300, 0.1265, 0.4281)
O (0.7300, 0.8735, 0.9281)
O (0.7342, 0.4603, 0.4086)
O (0.7342, 0.5397, 0.9086)
O (0.7658, 0.0397, 0.9086)
O (0.7658, 0.9603, 0.4086)
O (0.7700, 0.3735, 0.9281)
O (0.7700, 0.6265, 0.4281)
O (0.7750, 0.2970, 0.4233)
O (0.7750, 0.7030, 0.9233)

Energy relative to the lowest polymorph listed for this composition = 0.00 eV per formula unit
Symmetry = Pbcn
Calculated density = 7.23 g/cm³
N(E_F) = 0.00 states/eV/cell


# 17
Below is a relaxed structure of Ga2WO6, with properties calculated at the GGA+U level.

Cell lengths 9.5769, 9.5769, 5.0554 Å; angles 93.58, 93.58, 83.89 degrees
Fractional positions:
Ga (0.0584, 0.2047, 0.7842)
Ga (0.1534, 0.8466, 0.7500)
Ga (0.2047, 0.0584, 0.2842)
Ga (0.3004, 0.6996, 0.2500)
Ga (0.6996, 0.3004, 0.7500)
Ga (0.7953, 0.9416, 0.7158)
Ga (0.8466, 0.1534, 0.2500)
Ga (0.9416, 0.7953, 0.2158)
W (0.1523, 0.5105, 0.6179)
W (0.4895, 0.8477, 0.8821)
W (0.5105, 0.1523, 0.1179)
W (0.8477, 0.4895, 0.3821)
O (0.0373, 0.1412, 0.1145)
O (0.0485, 0.4460, 0.2973)
O (0.1049, 0.7369, 0.4187)
O (0.1412, 0.0373, 0.6145)
O (0.1861, 0.3391, 0.7676)
O (0.1925, 0.6463, 0.9023)
O (0.2631, 0.8951, 0.0813)
O (0.3071, 0.5274, 0.4252)
O (0.3391, 0.1861, 0.2676)
O (0.3537, 0.8075, 0.5977)
O (0.4460, 0.0485, 0.7973)
O (0.4726, 0.6929, 0.0748)
O (0.5274, 0.3071, 0.9252)
O (0.5540, 0.9515, 0.2027)
O (0.6463, 0.1925, 0.4023)
O (0.6609, 0.8139, 0.7324)
O (0.6929, 0.4726, 0.5748)
O (0.7369, 0.1049, 0.9187)
O (0.8075, 0.3537, 0.0977)
O (0.8139, 0.6609, 0.2324)
O (0.8588, 0.9627, 0.3855)
O (0.8951, 0.2631, 0.5813)
O (0.9515, 0.5540, 0.7027)
O (0.9627, 0.8588, 0.8855)

Energy relative to the lowest polymorph listed for this composition = 0.26 eV per formula unit
Symmetry = C2/c
Calculated density = 6.06 g/cm³
N(E_F) = 0.00 states/eV/cell


# 18
Below is a relaxed structure of Ga3WO7, with properties calculated at the GGA+U level.

Cell lengths 5.3662, 5.3662, 5.3662 Å; angles 101.58, 101.58, 101.58 degrees
Fractional positions:
Ga (0.0829, 0.4585, 0.4585)
Ga (0.4585, 0.0829, 0.4585)
Ga (0.4585, 0.4585, 0.0829)
W (0.9273, 0.9273, 0.9273)
O (0.1041, 0.7354, 0.7354)
O (0.1982, 0.1982, 0.1982)
O (0.3039, 0.3039, 0.7029)
O (0.3039, 0.7029, 0.3039)
O (0.7029, 0.3039, 0.3039)
O (0.7354, 0.1041, 0.7354)
O (0.7354, 0.7354, 0.1041)

Total DFT energy (no corrections) = -6.282 eV per atom
Symmetry = R3m
Calculated density = 5.84 g/cm³
N(E_F) = 6.25 states/eV/cell